A relaxed Ac3Si4Ni2Os2 crystal, computed with GGA-PBE.

POSCAR file:
```
Ac3Si4Ni2Os2
1.0
4.107 0.000 0.000
-2.053 3.556 0.000
0.000 0.000 16.287
Ac Si Ni Os
3 4 2 2
direct
0.000 0.000 0.000
0.000 0.000 0.279
0.000 0.000 0.721
0.333 0.667 0.416
0.333 0.667 0.861
0.667 0.333 0.139
0.667 0.333 0.584
0.333 0.667 0.140
0.667 0.333 0.860
0.333 0.667 0.563
0.667 0.333 0.437
```

Values from the calculation:
As for the formation energy without anion corrections: -0.46 eV per atom. The value obtained for the electronic total energy is -73.1 eV for the cell shown. As for the spin magnetization: 0.000 Bohr magnetons per cell. Its density of states at the Fermi level is 9.2 states/eV/f.u. The calculation puts the theoretical density at 9.01 g/cm³.